(1)
Compound: AcMg2Sn2Au2
Source: Alexandria via LeMat-Bulk
Functional: PBE-GGA
Structure: optimized geometry

Cell lengths 9.3516, 9.3516, 9.3516 Å; angles 28.91, 28.91, 28.91 degrees
Closest atoms and distances in Å follow each position.
Sites, in units of the cell vectors:
Ac: 0.0000 0.0000 0.0000  6 Sn 3.38, 2 Mg 3.74
Mg: 0.1391 0.1391 0.1391  3 Au 2.81, 3 Mg 3.07
Mg: 0.8609 0.8609 0.8609  3 Au 2.81, 3 Mg 3.07
Sn: 0.2573 0.2573 0.2573  3 Au 2.85, 4 Mg 3.18
Sn: 0.7427 0.7427 0.7427  3 Au 2.85, 4 Mg 3.18
Au: 0.4435 0.4435 0.4435  3 Mg 2.81, 3 Sn 2.85, 1 Au 3.04
Au: 0.5565 0.5565 0.5565  3 Mg 2.81, 3 Sn 2.85, 1 Au 3.04

Energy = -3.6678 eV per atom
Crystal system = trigonal
ρ = 8.9 g/cm³
Space group = R-3m, No. 166
Volume = 169 Å³/cell


(2)
Compound: Ac2MgSnAu6
Source: Alexandria via LeMat-Bulk
Functional: PBE-GGA
Structure: optimized geometry

Cell lengths 5.6053, 7.2233, 7.3141 Å; angles 81.35, 67.49, 67.25 degrees
Closest atoms and distances in Å follow each position.
Sites, in units of the cell vectors:
Ac: 0.0317 0.2118 0.2253  7 Au 3.31-3.54, 2 Sn 3.64
Ac: 0.9683 0.7882 0.7747  7 Au 3.31-3.54, 2 Sn 3.64
Mg: 0.5000 0.5000 0.0000  6 Au 2.67-2.77
Sn: 0.5000 0.0000 0.5000  6 Au 2.85-2.86
Au: 0.0111 0.7586 0.2197  1 Mg 2.67, 3 Au 2.79-2.95, 1 Sn 2.86
Au: 0.3418 0.4159 0.4024  1 Mg 2.77, 1 Sn 2.85, 2 Au 2.95
Au: 0.4863 0.2412 0.7821  1 Mg 2.67, 3 Au 2.79-2.95, 1 Sn 2.86
Au: 0.5137 0.7588 0.2179  1 Mg 2.67, 3 Au 2.79-2.95, 1 Sn 2.86
Au: 0.6582 0.5841 0.5976  1 Mg 2.77, 1 Sn 2.85, 2 Au 2.95
Au: 0.9889 0.2414 0.7803  1 Mg 2.67, 3 Au 2.79-2.95, 1 Sn 2.86

Energy = -3.8996 eV per atom
Crystal system = triclinic
ρ = 11.7 g/cm³
Space group = P-1, No. 2
Volume = 252 Å³/cell


(3)
Compound: AcMgSnAu
Source: Alexandria via LeMat-Bulk
Functional: PBE-GGA
Structure: optimized geometry

Cell lengths 5.3602, 5.3602, 5.3602 Å; angles 60.00, 60.00, 60.00 degrees
Closest atoms and distances in Å follow each position.
Sites, in units of the cell vectors:
Ac: 0.0000 0.0000 0.0000  4 Sn 3.28, 4 Au 3.28
Mg: 0.5000 0.5000 0.5000  4 Sn 3.28, 4 Au 3.28
Sn: 0.7500 0.7500 0.7500  4 Mg 3.28, 4 Ac 3.28
Au: 0.2500 0.2500 0.2500  4 Mg 3.28, 4 Ac 3.28

Energy = -3.8056 eV per atom
Crystal system = cubic
ρ = 8.6 g/cm³
Space group = F-43m, No. 216
Volume = 109 Å³/cell